[1]
# GeTeIrI2

Crystalline GeTeIrI2 at its relaxed geometry (PBE-GGA, Alexandria via LeMat-Bulk).

a b c (Å): 5.5316 5.5316 5.5337
angles (deg): 90.00 90.00 90.00
With the nearest neighbours (Å) after each atom.
Fractional coordinates of all 5 atoms:
1 I 0.0000 0.5000 0.0000  2 Ge 2.77
2 I 0.5000 0.0000 0.0000  2 Ge 2.77
3 Ir 0.5000 0.5000 0.5000  4 Te 3.91, 8 I 3.91
4 Te 0.0000 0.0000 0.5000  2 Ge 2.77
5 Ge 0.0000 0.0000 0.0000  4 I 2.77, 2 Te 2.77

## Properties
**Volume**: 169 Å³/cell
**N(E_F)**: 1.424 states/eV/atom
**Formation energy (no corrections)**: 1.302 eV/atom

=====

[2]
# BaCoAu2

Crystalline BaCoAu2 at its relaxed geometry (PBE-GGA, Alexandria via LeMat-Bulk).

a b c (Å): 4.3013 4.9451 4.9860
angles (deg): 68.51 90.00 90.00
With the nearest neighbours (Å) after each atom.
Fractional coordinates of all 4 atoms:
1 Au 0.0000 0.5691 0.5843  2 Co 2.58, 1 Au 2.85
2 Au 0.0000 0.9309 0.9157  2 Co 2.58, 1 Au 2.85
3 Co 0.5000 0.7500 0.7500  4 Au 2.58, 2 Ba 2.80
4 Ba 0.5000 0.2500 0.2500  2 Co 2.80

## Properties
**Volume**: 99 Å³/cell
**N(E_F)**: 1.548 states/eV/atom
**Calculated formation energy**: 37 meV/atom